Material: CsTlCd2F8
Method: DFT, PBE
State: optimized geometry

abc: 5.3136 5.4715 7.5471
angles: 89.53 89.67 89.19
Closest atoms and distances in Å follow each position.
Fractional positions:
Cd 0.5004 0.5009 0.2487  6 F 2.25-2.45
Cd 0.4996 0.4991 0.7513  6 F 2.25-2.45
F 0.1753 0.7554 0.8071  1 Tl 2.18, 1 Cd 2.25
F 0.4334 0.2786 0.5012  2 Cd 2.28, 1 F 2.53
F 0.1700 0.7506 0.1943  1 Tl 2.19, 1 Cd 2.25
F 0.5666 0.7214 0.4988  2 Cd 2.28, 1 F 2.53
F 0.6731 0.7277 0.9998  1 Tl 2.30, 2 Cd 2.43-2.45
F 0.3269 0.2723 0.0002  1 Tl 2.30, 2 Cd 2.43-2.45
F 0.8247 0.2446 0.1929  1 Tl 2.18, 1 Cd 2.25
F 0.8300 0.2494 0.8057  1 Tl 2.19, 1 Cd 2.25
Tl 0.0000 0.0000 0.0000  6 F 2.18-2.30
Cs 0.0000 0.0000 0.5000  6 F 2.78-2.83

Values from the calculation:
Calculated volume: 18.28 Å³/atom
Uncorrected formation energy: -2112 meV per atom
Fermi-level density of states: 0.0 states/eV per cell
Total DFT energy (no corrections): -3.78 eV per atom
Magnetization: 0.00 μB/f.u.

---

Material: Bi2HO
Method: DFT, PBE
State: optimized geometry

abc: 5.4624 5.4624 6.6261
angles: 65.66 65.66 90.00
Closest atoms and distances in Å follow each position.
Fractional positions:
H 0.2500 0.7500 0.5000  4 Bi 2.31
H 0.5000 0.5000 0.0000  4 Bi 2.31
O 0.7500 0.2500 0.5000  4 Bi 2.40
O 0.0000 0.0000 0.0000  4 Bi 2.40
Bi 0.6106 0.1250 0.2500  2 H 2.31, 2 O 2.40
Bi 0.8750 0.8606 0.7500  2 H 2.31, 2 O 2.40
Bi 0.3750 0.3894 0.7500  2 H 2.31, 2 O 2.40
Bi 0.1394 0.6250 0.2500  2 H 2.31, 2 O 2.40

Values from the calculation:
ΔE to the lowest computed polymorph: 0.0 meV per atom
Calculated volume: 20.08 Å³/atom
Fermi-level density of states: 1.4 states/eV per cell
Total DFT energy (no corrections): -4.01 eV per atom
Magnetization: 0.00 μB/f.u.

---

Material: YGa2Ag2
Method: DFT, PBE
State: optimized geometry

abc: 4.2875 4.2875 6.2368
angles: 69.90 69.90 90.00
Closest atoms and distances in Å follow each position.
Fractional positions:
Ga 0.6106 0.6106 0.7788  1 Ga 2.41, 4 Ag 2.63
Ga 0.3894 0.3894 0.2212  1 Ga 2.41, 4 Ag 2.63
Ag 0.2500 0.7500 0.5000  4 Ga 2.63
Ag 0.7500 0.2500 0.5000  4 Ga 2.63
Y 0.0000 0.0000 0.0000  8 Ga 3.26, 8 Ag 3.47

Values from the calculation:
Calculated volume: 20.04 Å³/atom
Fermi-level density of states: 2.6 states/eV per cell
Total DFT energy (no corrections): -4.00 eV per atom
Magnetization: 0.00 μB/f.u.
ΔH_f (0 K): -0.3569 eV/atom

---

Material: ErPuAlSn
Method: DFT, PBE
State: optimized geometry

abc: 5.1939 5.1939 5.1939
angles: 60.00 60.00 60.00
Closest atoms and distances in Å follow each position.
Fractional positions:
Er 0.5000 0.5000 0.5000  4 Al 3.18, 4 Sn 3.18
Al 0.7500 0.7500 0.7500  4 Pu 3.18, 4 Er 3.18
Sn 0.2500 0.2500 0.2500  4 Er 3.18, 4 Pu 3.18
Pu 0.0000 0.0000 0.0000  4 Sn 3.18, 4 Al 3.18

Values from the calculation:
Calculated volume: 24.77 Å³/atom
Fermi-level density of states: 8.9 states/eV per cell
Total DFT energy (no corrections): -6.97 eV per atom
Magnetization: 5.86 μB/f.u.
ΔH_f (0 K): -0.3087 eV/atom

---

Material: Rb4Pm3YSe8
Method: DFT, PBE
State: optimized geometry

abc: 8.6451 9.4426 8.6464
angles: 117.26 120.00 90.00
Closest atoms and distances in Å follow each position.
Fractional positions:
Se 0.7336 0.7006 0.4672  3 Pm 2.97
Se 0.7380 0.6983 0.9682  1 Y 2.93, 2 Pm 2.98
Se 0.2302 0.6983 0.9682  1 Y 2.93, 2 Pm 2.98
Se 0.7698 0.3017 0.0318  1 Y 2.93, 2 Pm 2.98
Se 0.7698 0.3017 0.5395  1 Y 2.93, 2 Pm 2.98
Se 0.2302 0.6983 0.4605  1 Y 2.93, 2 Pm 2.98
Se 0.2664 0.2994 0.5328  3 Pm 2.97
Se 0.2620 0.3017 0.0318  1 Y 2.93, 2 Pm 2.98
Rb 0.5000 0.0000 0.0000  6 Se 3.50
Rb 0.0000 0.0000 0.5000  6 Se 3.46
Rb 0.5000 0.0000 0.5000  6 Se 3.46
Rb 0.0000 0.0000 0.0000  6 Se 3.46
Pm 0.5000 0.5000 0.5000  6 Se 2.97-2.98
Pm 0.5000 0.5000 0.0000  6 Se 2.97-2.98
Pm 0.0000 0.5000 0.5000  6 Se 2.97-2.98
Y 0.0000 0.5000 0.0000  6 Se 2.93

Values from the calculation:
Calculated volume: 32.43 Å³/atom
Uncorrected formation energy: -1740 meV per atom
Fermi-level density of states: 0.0 states/eV per cell
Total DFT energy (no corrections): -5.02 eV per atom
Magnetization: 0.00 μB/f.u.

---

Material: NaNbMoS2
Method: DFT, PBE
State: optimized geometry

abc: 4.7730 5.5217 4.7730
angles: 90.00 90.00 90.00
Closest atoms and distances in Å follow each position.
Fractional positions:
S 0.5000 0.0000 0.0000  2 Nb 2.39
S 0.0000 0.0000 0.5000  2 Nb 2.39
Na 0.0000 0.5000 0.0000  2 Nb 2.76
Mo 0.5000 0.5000 0.5000  4 Na 3.38, 8 S 3.65
Nb 0.0000 0.0000 0.0000  4 S 2.39

Values from the calculation:
Calculated volume: 25.16 Å³/atom
Uncorrected formation energy: 807 meV per atom
Fermi-level density of states: 2.7 states/eV per cell
Total DFT energy (no corrections): -5.29 eV per atom
Magnetization: 3.82 μB/f.u.